Record 1
{
  "formula": "Y6Ir2O",
  "functional": "GGA-PBE",
  "state": "optimized geometry",
  "final_energy_ha_per_atom": -0.2924,
  "raw_formation_energy_kj_per_mol_atoms": -108.7,
  "lattice_angstrom": [[6.414, 0.000, -0.017], [0.000, 7.142, 0.000], [0.276, 0.000, 9.363]],
  "species": ["Y", "Y", "Y", "Y", "Y", "Y", "Y", "Y", "Y", "Y", "Y", "Y", "Ir", "Ir", "Ir", "Ir", "O", "O"],
  "frac_coords": [[0.121, 0.036, 0.255], [0.174, 0.317, 0.562], [0.186, 0.327, 0.941], [0.314, 0.827, 0.559], [0.326, 0.817, 0.938], [0.379, 0.536, 0.245], [0.879, 0.964, 0.745], [0.826, 0.683, 0.438], [0.814, 0.673, 0.059], [0.686, 0.173, 0.441], [0.674, 0.183, 0.062], [0.621, 0.464, 0.755], [0.041, 0.605, 0.754], [0.459, 0.105, 0.746], [0.541, 0.895, 0.254], [0.959, 0.395, 0.246], [0.500, 0.500, 0.000], [0.000, 0.000, 0.500]]
}

***

Record 2
{
  "formula": "RbSbTe2As",
  "functional": "GGA-PBE",
  "state": "optimized geometry",
  "final_energy_ha_per_atom": -0.0654,
  "raw_formation_energy_kj_per_mol_atoms": 137.4,
  "e_above_lowest_polymorph_ev_per_fu": 7.05,
  "lattice_angstrom": [[-5.194, 4.647, -0.354], [-4.571, -5.183, -0.975], [-0.913, -0.494, 6.906]],
  "species": ["Sb", "As", "Te", "Te", "Rb"],
  "frac_coords": [[0.000, 0.000, 0.500], [0.500, 0.500, 0.500], [0.000, 0.500, 0.000], [0.500, 0.000, 0.000], [0.000, 0.000, 0.000]]
}

***

Record 3
{
  "formula": "Ca2InH",
  "functional": "GGA-PBE",
  "state": "optimized geometry",
  "final_energy_ha_per_atom": -0.0941,
  "e_above_lowest_polymorph_ev_per_fu": 1.15,
  "lattice_angstrom": [[-0.561, 2.285, -2.775], [-3.084, -0.193, -1.920], [-5.218, 6.779, 4.251]],
  "species": ["H", "Ca", "Ca", "In"],
  "frac_coords": [[0.500, 0.500, 0.500], [0.115, 0.115, 0.655], [0.885, 0.885, 0.345], [0.000, 0.000, 0.000]]
}

***

Record 4
{
  "formula": "Cs2SmI6",
  "functional": "GGA-PBE",
  "state": "optimized geometry",
  "final_energy_ha_per_atom": -0.1084,
  "raw_formation_energy_kj_per_mol_atoms": -116.0,
  "lattice_angstrom": [[5.629, -0.008, -1.146], [-0.860, 8.307, -4.281], [-0.825, -0.082, 10.293]],
  "species": ["Cs", "Cs", "Sm", "I", "I", "I", "I", "I", "I"],
  "frac_coords": [[0.334, 0.334, 0.668], [0.666, 0.666, 0.332], [0.000, 0.000, 0.000], [0.859, 0.075, 0.717], [0.141, 0.357, 0.283], [0.141, 0.925, 0.283], [0.500, 0.194, 0.000], [0.859, 0.643, 0.717], [0.500, 0.806, 0.000]]
}

***

Record 5
{
  "formula": "RbNa3Cl4",
  "functional": "GGA-PBE",
  "state": "optimized geometry",
  "final_energy_ha_per_atom": -0.1225,
  "raw_formation_energy_kj_per_mol_atoms": -173.1,
  "lattice_angstrom": [[-1.596, 3.617, 1.416], [-1.610, -3.225, 6.392], [5.689, 0.704, 4.583]],
  "species": ["Na", "Na", "Na", "Rb", "Cl", "Cl", "Cl", "Cl"],
  "frac_coords": [[0.500, 0.000, 0.500], [0.000, 0.000, 0.000], [0.000, 0.500, 0.500], [0.500, 0.500, 0.000], [0.000, 0.778, 0.722], [0.499, 0.763, 0.263], [0.000, 0.222, 0.278], [0.501, 0.237, 0.737]]
}

***

Record 6
{
  "formula": "SiIrPb",
  "functional": "GGA-PBE",
  "state": "optimized geometry",
  "final_energy_ha_per_atom": -0.2209,
  "raw_formation_energy_kj_per_mol_atoms": -1.3,
  "e_above_lowest_polymorph_ev_per_fu": 0.00,
  "lattice_angstrom": [[-2.103, 3.032, -0.596], [-0.966, -2.454, 2.649], [2.897, 2.709, 3.566]],
  "species": ["Ir", "Pb", "Si"],
  "frac_coords": [[0.000, 0.000, 0.920], [0.667, 0.333, 0.318], [0.333, 0.667, 0.762]]
}

***

Record 7
{
  "formula": "AlAsSe2",
  "functional": "GGA-PBE",
  "state": "optimized geometry",
  "final_energy_ha_per_atom": -0.1445,
  "raw_formation_energy_kj_per_mol_atoms": -8.9,
  "e_above_lowest_polymorph_ev_per_fu": 0.88,
  "lattice_angstrom": [[-2.715, -2.224, -1.400], [3.305, -2.468, -2.490], [1.514, -3.614, 2.805]],
  "species": ["As", "Al", "Se", "Se"],
  "frac_coords": [[0.500, 0.750, 0.750], [0.500, 0.250, 0.250], [0.000, 0.011, 0.011], [0.000, 0.489, 0.489]]
}

***

Record 8
{
  "formula": "Pr2YRu",
  "functional": "GGA-PBE",
  "state": "optimized geometry",
  "final_energy_ha_per_atom": -0.2398,
  "ef_ev_per_fu": -0.805,
  "e_above_lowest_polymorph_ev_per_fu": 0.00,
  "lattice_angstrom": [[6.398, 0.000, 0.000], [0.000, 7.411, 0.000], [0.000, 0.000, 9.789]],
  "species": ["Pr", "Pr", "Pr", "Pr", "Pr", "Pr", "Pr", "Pr", "Y", "Y", "Y", "Y", "Ru", "Ru", "Ru", "Ru"],
  "frac_coords": [[0.169, 0.676, 0.066], [0.331, 0.176, 0.434], [0.831, 0.324, 0.566], [0.669, 0.824, 0.934], [0.831, 0.324, 0.934], [0.669, 0.824, 0.566], [0.169, 0.676, 0.434], [0.331, 0.176, 0.066], [0.646, 0.543, 0.250], [0.854, 0.043, 0.250], [0.354, 0.457, 0.750], [0.146, 0.957, 0.750], [0.047, 0.385, 0.250], [0.453, 0.885, 0.250], [0.953, 0.615, 0.750], [0.547, 0.115, 0.750]]
}